Compound: VCu2Bi2O6
Source: Alexandria
Functional: GGA+U
Structure: relaxed

Lattice parameters (Å, degrees): 6.0681 6.0681 6.0681 58.49 58.49 58.49
Closest atoms and distances in Å follow each position.
Fractional coordinates of all 11 atoms:
1 V 0.0000 0.0000 0.0000  6 O 2.00
2 Cu 0.4146 0.4146 0.4146  3 O 1.92
3 Cu 0.5854 0.5854 0.5854  3 O 1.92
4 Bi 0.1980 0.1980 0.1980  3 O 2.24
5 Bi 0.8020 0.8020 0.8020  3 O 2.24
6 O 0.2054 0.7661 0.7661  1 Cu 1.92, 1 V 2.00
7 O 0.2339 0.2339 0.7946  1 Cu 1.92, 1 V 2.00
8 O 0.2339 0.7946 0.2339  1 Cu 1.92, 1 V 2.00
9 O 0.7661 0.2054 0.7661  1 Cu 1.92, 1 V 2.00
10 O 0.7661 0.7661 0.2054  1 Cu 1.92, 1 V 2.00
11 O 0.7946 0.2339 0.2339  1 Cu 1.92, 1 V 2.00

Crystal system: trigonal
Volume in A^3/atom: 13.9
E_tot in eV/atom: -5.81